1.
Computed, not measured: a geometry-optimized MnBr2 structure at the PBE-GGA level of DFT.

Lattice parameters (Å, degrees): 4.040 6.720 7.499 81.83 75.14 88.50
Space group P-1 (No. 2)
Symmetry-distinct sites (fractional):
Mn 0.219 0.065 0.439
Br 0.131 0.307 0.209
Br 0.409 0.192 0.673

- formation energy without anion corrections (eV per formula unit) = -0.95

---

2.
Computed, not measured: a geometry-optimized Mn3Br4 structure at the PBE-GGA level of DFT.

Lattice parameters (Å, degrees): 6.0038 6.0038 5.1526 90.00 90.00 120.00
Space group P6/mmm (No. 191)
Symmetry-distinct sites (fractional):
Mn 0.0000 0.5000 0.0000
Br 0.0000 0.0000 0.2526
Br 0.3333 0.6667 0.5000

- formation energy without anion corrections (eV per formula unit) = 2.20

---

3.
Computed, not measured: a geometry-optimized MnBr3 structure at the PBE-GGA level of DFT.

Lattice parameters (Å, degrees): 3.7559 3.7559 34.4935 90.00 90.00 120.00
Space group R-3m (No. 166, hexagonal axes)
Symmetry-distinct sites (fractional):
Mn 0.0000 0.0000 0.0000
Br 0.0000 0.0000 0.3783
Br 0.0000 0.0000 0.5000

- formation energy without anion corrections (eV per formula unit) = -1.48

---

4.
Computed, not measured: a geometry-optimized MnBr2 structure at the PBE-GGA level of DFT.

Lattice parameters (Å, degrees): 5.732 5.743 6.516 90.00 90.00 90.00
Space group C222 (No. 21)
Symmetry-distinct sites (fractional):
Mn 0.000 0.000 0.000
Br 0.250 0.250 0.769

- formation energy without anion corrections (eV per formula unit) = -2.24

---

5.
Computed, not measured: a geometry-optimized MnBr3 structure at the PBE-GGA level of DFT.

Lattice parameters (Å, degrees): 3.370 6.645 11.436 90.00 90.00 90.00
Space group Immm (No. 71)
Symmetry-distinct sites (fractional):
Mn 0.000 0.000 0.000
Br 0.000 0.000 0.500
Br 0.000 0.500 0.341

- formation energy without anion corrections (eV per formula unit) = -1.53

---

6.
Computed, not measured: a geometry-optimized Mn5Br structure at the PBE-GGA level of DFT.

Lattice parameters (Å, degrees): 4.6858 4.6858 4.3026 90.00 90.00 120.00
Space group P6/mmm (No. 191)
Symmetry-distinct sites (fractional):
Mn 0.0000 0.5000 0.0000
Mn 0.3333 0.6667 0.5000
Br 0.0000 0.0000 0.5000

- offset from the most stable computed form (eV/atom) = 0.476
- formation energy without anion corrections (eV per formula unit) = 5.32

---

7.
Computed, not measured: a geometry-optimized MnBr2 structure at the PBE-GGA level of DFT.

Lattice parameters (Å, degrees): 8.141 6.691 8.218 90.00 111.80 90.00
Space group C2 (No. 5)
Symmetry-distinct sites (fractional):
Mn 0.129 0.000 0.057
Br 0.210 0.850 0.325
Br 0.237 0.339 0.128

- formation energy without anion corrections (eV per formula unit) = -0.79

---

8.
Computed, not measured: a geometry-optimized Mn2Br structure at the PBE-GGA level of DFT.

Lattice parameters (Å, degrees): 17.247 3.149 5.510 90.00 97.62 90.00
Space group C2/m (No. 12)
Symmetry-distinct sites (fractional):
Mn 0.195 0.000 0.108
Mn 0.202 0.000 0.603
Br 0.100 0.500 0.792

- formation energy without anion corrections (eV per formula unit) = 0.85

---

9.
Computed, not measured: a geometry-optimized MnBr2 structure at the PBE-GGA level of DFT.

Lattice parameters (Å, degrees): 11.081 11.081 11.081 90.00 90.00 90.00
Space group Fd-3m (No. 227, origin choice 2)
Symmetry-distinct sites (fractional):
Mn 0.000 0.000 0.000
Br 0.006 0.006 0.244

- formation energy without anion corrections (eV per formula unit) = -2.33

---

10.
Computed, not measured: a geometry-optimized MnBr2 structure at the PBE-GGA level of DFT.

Lattice parameters (Å, degrees): 3.682 15.246 7.935 90.00 90.00 90.00
Space group Cmcm (No. 63)
Symmetry-distinct sites (fractional):
Mn 0.000 0.083 0.250
Br 0.000 0.301 0.750
Br 0.000 0.464 0.250

- formation energy without anion corrections (eV per formula unit) = -1.85

---

11.
Computed, not measured: a geometry-optimized MnBr2 structure at the PBE-GGA level of DFT.

Lattice parameters (Å, degrees): 3.428 3.428 14.437 90.00 90.00 90.00
Space group I4/mmm (No. 139)
Symmetry-distinct sites (fractional):
Mn 0.000 0.000 0.000
Br 0.000 0.000 0.387

- formation energy without anion corrections (eV per formula unit) = -1.20

---

12.
Computed, not measured: a geometry-optimized Mn3Br5 structure at the PBE-GGA level of DFT.

Lattice parameters (Å, degrees): 7.5503 7.5503 8.7060 90.00 90.00 120.00
Space group P6_3/mcm (No. 193)
Symmetry-distinct sites (fractional):
Mn 0.0000 0.4026 0.2500
Br 0.0000 0.2640 0.7500
Br 0.3333 0.6667 0.0000

- offset from the most stable computed form (eV/atom) = 0.000
- formation energy without anion corrections (eV per formula unit) = -2.64

---

13.
Computed, not measured: a geometry-optimized Mn5Br4 structure at the PBE-GGA level of DFT.

Lattice parameters (Å, degrees): 8.0744 8.0744 6.2173 90.00 90.00 120.00
Space group P6_3/mcm (No. 193)
Symmetry-distinct sites (fractional):
Mn 0.0000 0.3067 0.2500
Mn 0.3333 0.6667 0.0000
Br 0.0000 0.0000 0.0000
Br 0.0000 0.3776 0.7500

- formation energy without anion corrections (eV per formula unit) = 4.30

---

14.
Computed, not measured: a geometry-optimized MnBr2 structure at the PBE-GGA level of DFT.

Lattice parameters (Å, degrees): 5.1549 5.1549 3.3664 90.00 90.00 120.00
Space group P6/mmm (No. 191)
Symmetry-distinct sites (fractional):
Mn 0.0000 0.0000 0.0000
Br 0.3333 0.6667 0.5000

- formation energy without anion corrections (eV per formula unit) = 1.55

---

15.
Computed, not measured: a geometry-optimized Mn5Br structure at the PBE-GGA level of DFT.

Lattice parameters (Å, degrees): 10.989 3.003 5.323 90.00 101.33 90.00
Space group Cm (No. 8)
Symmetry-distinct sites (fractional):
Mn 0.000 0.000 0.000
Mn 0.003 0.000 0.497
Mn 0.187 0.500 0.314
Mn 0.351 0.000 0.677
Mn 0.371 0.000 0.208
Br 0.170 0.500 0.810

- offset from the most stable computed form (eV/atom) = 0.000
- formation energy without anion corrections (eV per formula unit) = 2.46

---

16.
Computed, not measured: a geometry-optimized MnBr3 structure at the PBE-GGA level of DFT.

Lattice parameters (Å, degrees): 6.957 6.957 9.442 90.00 90.00 90.00
Space group I-42d (No. 122)
Symmetry-distinct sites (fractional):
Mn 0.000 0.000 0.000
Br 0.000 0.000 0.500
Br 0.132 0.250 0.125

- formation energy without anion corrections (eV per formula unit) = 0.65

---

17.
Computed, not measured: a geometry-optimized Mn3Br5 structure at the PBE-GGA level of DFT.

Lattice parameters (Å, degrees): 8.800 12.818 3.771 90.00 90.00 90.00
Space group Cmmm (No. 65)
Symmetry-distinct sites (fractional):
Mn 0.000 0.000 0.000
Mn 0.000 0.338 0.500
Br 0.000 0.500 0.000
Br 0.191 0.000 0.500
Br 0.250 0.250 0.000

- offset from the most stable computed form (eV/atom) = 0.104
- formation energy without anion corrections (eV per formula unit) = -1.81

---

18.
Computed, not measured: a geometry-optimized MnBr3 structure at the PBE-GGA level of DFT.

Lattice parameters (Å, degrees): 8.6808 8.6808 5.2015 90.00 90.00 120.00
Space group R-3m (No. 166, hexagonal axes)
Symmetry-distinct sites (fractional):
Mn 0.0000 0.0000 0.0000
Br 0.0000 0.5000 0.0000

- formation energy without anion corrections (eV per formula unit) = 0.82

---

19.
Computed, not measured: a geometry-optimized MnBr2 structure at the PBE-GGA level of DFT.

Lattice parameters (Å, degrees): 6.603 6.603 6.635 90.00 90.00 90.00
Space group I4/mcm (No. 140)
Symmetry-distinct sites (fractional):
Mn 0.000 0.000 0.250
Br 0.185 0.315 0.000

- formation energy without anion corrections (eV per formula unit) = -1.03

---

20.
Computed, not measured: a geometry-optimized MnBr3 structure at the PBE-GGA level of DFT.

Lattice parameters (Å, degrees): 5.124 13.662 3.680 90.00 90.00 90.00
Space group Cmmm (No. 65)
Symmetry-distinct sites (fractional):
Mn 0.000 0.000 0.000
Br 0.000 0.129 0.500
Br 0.000 0.500 0.000

- formation energy without anion corrections (eV per formula unit) = -2.32

---

21.
Computed, not measured: a geometry-optimized Mn2Br structure at the PBE-GGA level of DFT.

Lattice parameters (Å, degrees): 3.194 3.194 11.284 90.00 90.00 90.00
Space group I4/mmm (No. 139)
Symmetry-distinct sites (fractional):
Mn 0.000 0.000 0.175
Br 0.000 0.000 0.500

- formation energy without anion corrections (eV per formula unit) = 1.34

---

22.
Computed, not measured: a geometry-optimized MnBr2 structure at the PBE-GGA level of DFT.

Lattice parameters (Å, degrees): 15.035 3.760 10.074 90.00 129.68 90.00
Space group C2/m (No. 12)
Symmetry-distinct sites (fractional):
Mn 0.250 0.000 0.160
Br 0.109 0.500 0.907
Br 0.191 0.000 0.627

- formation energy without anion corrections (eV per formula unit) = -2.19

---

23.
Computed, not measured: a geometry-optimized MnBr2 structure at the PBE-GGA level of DFT.

Lattice parameters (Å, degrees): 3.722 7.825 15.008 90.00 90.00 90.00
Space group Fmmm (No. 69)
Symmetry-distinct sites (fractional):
Mn 0.000 0.000 0.000
Br 0.000 0.000 0.382

- formation energy without anion corrections (eV per formula unit) = -1.80

---

24.
Computed, not measured: a geometry-optimized MnBr2 structure at the PBE-GGA level of DFT.

Lattice parameters (Å, degrees): 6.309 6.672 3.915 90.00 90.00 90.00
Space group Pnnm (No. 58)
Symmetry-distinct sites (fractional):
Mn 0.000 0.000 0.000
Br 0.226 0.164 0.500

- formation energy without anion corrections (eV per formula unit) = -2.15

---

25.
Computed, not measured: a geometry-optimized MnBr3 structure at the PBE-GGA level of DFT.

Lattice parameters (Å, degrees): 4.690 4.690 4.690 90.00 90.00 90.00
Space group Pm-3m (No. 221)
Symmetry-distinct sites (fractional):
Mn 0.000 0.000 0.000
Br 0.000 0.500 0.500

- formation energy without anion corrections (eV per formula unit) = 1.32

---

26.
Computed, not measured: a geometry-optimized MnBr3 structure at the PBE-GGA level of DFT.

Lattice parameters (Å, degrees): 11.911 15.135 3.334 90.00 90.00 90.00
Space group Cmcm (No. 63)
Symmetry-distinct sites (fractional):
Mn 0.000 0.202 0.250
Br 0.000 0.333 0.750
Br 0.143 0.137 0.750

- formation energy without anion corrections (eV per formula unit) = -2.14